Record 1
Below is Ce6Tl3C after structural relaxation, with properties calculated at the GGA-PBE level.

The calculation puts the total energy at -0.388 Ry/atom. For the formation energy, the calculation gives -0.085 eV per atom. The value obtained for the calculated volume is 27.38 A^3/atom. As for the density of states at the Fermi level: 28.09 states/eV/f.u.

It has space group C2/m (No. 12), with a = 10.8957 Å, b = 6.5765 Å, c = 7.9783 Å, α = 90.00°, β = 106.66° and γ = 90.00°. The distinct sites, in fractional coordinates, are Ce at (0.1180, 0.2270, 0.3961), Ce at (0.1394, 0.5000, 0.8195), Tl at (0.0000, 0.0000, 0.0000), Tl at (0.1870, 0.0000, 0.7691) and C at (0.0000, 0.5000, 0.5000).

=====

Record 2
Below is Cs2CuBSe4 after structural relaxation, with properties calculated at the GGA-PBE level.

The formation energy without anion corrections is -54 kJ/mol of atoms. The calculation puts the total energy at -0.284 Ry/atom. The value obtained for the calculated volume is 31.15 A^3/atom. As for the density of states at the Fermi level: 3.46 states/eV/f.u.

It has space group Fddd (No. 70, origin choice 2), with a = 6.4337 Å, b = 13.5084 Å, c = 22.9412 Å, α = 90.00°, β = 90.00° and γ = 90.00°. The distinct sites, in fractional coordinates, are Cs at (0.1250, 0.1250, 0.3070), Cu at (0.1250, 0.1250, 0.1250), B at (0.1250, 0.1250, 0.6250) and Se at (0.0897, 0.3020, 0.8225).

=====

Record 3
Below is MnInSb2 after structural relaxation, with properties calculated at the GGA-PBE level.

The formation energy without anion corrections is 30 kJ/mol of atoms. The calculation puts the total energy at -0.347 Ry/atom. The value obtained for the calculated volume is 24.15 A^3/atom. As for the density of states at the Fermi level: 2.82 states/eV/f.u.

It has space group P4/mmm (No. 123), with a = 5.0010 Å, b = 5.0010 Å, c = 3.8625 Å, α = 90.00°, β = 90.00° and γ = 90.00°. The distinct sites, in fractional coordinates, are Mn at (0.0000, 0.0000, 0.0000), In at (0.5000, 0.5000, 0.0000) and Sb at (0.0000, 0.5000, 0.5000).

=====

Record 4
Below is Gd2ThMg after structural relaxation, with properties calculated at the GGA-PBE level.

The calculation puts the total energy at -0.680 Ry/atom. For the formation energy, the calculation gives 0.049 eV per atom. The value obtained for the calculated volume is 30.19 A^3/atom. As for the density of states at the Fermi level: 5.73 states/eV/f.u.

It has space group P4/mmm (No. 123), with a = 4.9339 Å, b = 4.9339 Å, c = 4.9604 Å, α = 90.00°, β = 90.00° and γ = 90.00°. The distinct sites, in fractional coordinates, are Gd at (0.0000, 0.5000, 0.0000), Th at (0.0000, 0.0000, 0.5000) and Mg at (0.5000, 0.5000, 0.5000).

=====

Record 5
Below is SiAg3Mo after structural relaxation, with properties calculated at the GGA-PBE level.

The formation energy without anion corrections is 97 kJ/mol of atoms. The calculation puts the total energy at -0.290 Ry/atom. The value obtained for the calculated volume is 21.27 A^3/atom. As for the density of states at the Fermi level: 3.28 states/eV/f.u.

It has space group Pm-3m (No. 221), with a = 4.7377 Å, b = 4.7377 Å, c = 4.7377 Å, α = 90.00°, β = 90.00° and γ = 90.00°. The distinct sites, in fractional coordinates, are Si at (0.0000, 0.0000, 0.0000), Ag at (0.0000, 0.0000, 0.5000) and Mo at (0.5000, 0.5000, 0.5000).

=====

Record 6
Below is La3Pm2Th2 after structural relaxation, with properties calculated at the GGA-PBE level.

The calculation puts the total energy at -0.401 Ry/atom. For the formation energy, the calculation gives 0.136 eV per atom. The value obtained for the calculated volume is 34.44 A^3/atom. As for the density of states at the Fermi level: 13.82 states/eV/f.u.

It has space group C2/m (No. 12), with a = 9.5302 Å, b = 6.1308 Å, c = 9.3683 Å, α = 90.00°, β = 118.25° and γ = 90.00°. The distinct sites, in fractional coordinates, are La at (0.0000, 0.0000, 0.0000), La at (0.1361, 0.0000, 0.4267), Pm at (0.0762, 0.5000, 0.7247) and Th at (0.2042, 0.5000, 0.1399).

=====

Record 7
Below is LiMg2Pa after structural relaxation, with properties calculated at the GGA-PBE level.

The calculation puts the total energy at -0.252 Ry/atom. For the formation energy, the calculation gives 0.220 eV per atom. The value obtained for the calculated volume is 23.27 A^3/atom. As for the density of states at the Fermi level: 3.93 states/eV/f.u.

It has space group R-3m (No. 166, hexagonal axes), with a = 3.0512 Å, b = 3.0512 Å, c = 34.6392 Å, α = 90.00°, β = 90.00° and γ = 120.00°. The distinct sites, in fractional coordinates, are Li at (0.0000, 0.0000, 0.0000), Mg at (0.0000, 0.0000, 0.4065) and Pa at (0.0000, 0.0000, 0.5000).

=====

Record 8
Below is Tb4PmTl after structural relaxation, with properties calculated at the GGA-PBE level.

The calculation puts the total energy at -0.322 Ry/atom. For the formation energy, the calculation gives -0.105 eV per atom. The value obtained for the calculated volume is 31.24 A^3/atom. As for the density of states at the Fermi level: 7.69 states/eV/f.u.

It has space group P4/mmm (No. 123), with a = 3.6160 Å, b = 3.6160 Å, c = 14.3348 Å, α = 90.00°, β = 90.00° and γ = 90.00°. The distinct sites, in fractional coordinates, are Tb at (0.0000, 0.0000, 0.1479), Tb at (0.5000, 0.5000, 0.3221), Pm at (0.0000, 0.0000, 0.5000) and Tl at (0.5000, 0.5000, 0.0000).

=====

Which of these has the lowest calculated volume?
SiAg3Mo